(1)
LuScCuSn | PBE | optimized geometry

Unit cell a=6.984 b=6.984 c=6.984 alpha=90.00 beta=90.00 gamma=90.00
Element x y z (fractional)
Lu: 0.000 0.000 0.000
Lu: 0.000 0.500 0.500
Lu: 0.500 0.000 0.500
Lu: 0.500 0.500 0.000
Sc: 0.000 0.000 0.500
Sc: 0.000 0.500 0.000
Sc: 0.500 0.000 0.000
Sc: 0.500 0.500 0.500
Cu: 0.250 0.250 0.750
Cu: 0.250 0.750 0.250
Cu: 0.750 0.250 0.250
Cu: 0.750 0.750 0.750
Sn: 0.250 0.250 0.250
Sn: 0.250 0.750 0.750
Sn: 0.750 0.250 0.750
Sn: 0.750 0.750 0.250

DFT formation energy   -0.401 eV per atom
DFT total energy   -0.1888 hartree per atom
SG   No. 216
DOS(E_F)   4.1 states/eV/f.u.



(2)
CaBe2BiIr | PBE | optimized geometry

Unit cell a=4.543 b=4.543 c=5.904 alpha=90.00 beta=90.00 gamma=90.00
Element x y z (fractional)
Ca: 0.000 0.000 0.000
Be: 0.000 0.500 0.500
Be: 0.500 0.000 0.500
Bi: 0.000 0.000 0.500
Ir: 0.500 0.500 0.000

DFT formation energy   1.319 eV per atom
DFT total energy   -0.1147 hartree per atom
SG   No. 123
DOS(E_F)   2.1 states/eV/f.u.



(3)
Tb3Ce4Ir4 | PBE | optimized geometry

Unit cell a=8.885 b=8.885 c=8.885 alpha=150.23 beta=129.15 gamma=60.04
Element x y z (fractional)
Tb: 0.000 0.000 0.000
Tb: 0.401 0.901 0.500
Tb: 0.599 0.099 0.500
Ce: 0.051 0.336 0.716
Ce: 0.380 0.664 0.716
Ce: 0.620 0.336 0.284
Ce: 0.949 0.664 0.284
Ir: 0.203 0.203 0.000
Ir: 0.313 0.500 0.813
Ir: 0.687 0.500 0.187
Ir: 0.797 0.797 0.000

DFT formation energy   -0.566 eV per atom
DFT total energy   -0.2649 hartree per atom
SG   No. 71
DOS(E_F)   19.2 states/eV/f.u.



(4)
Dy2PtS | PBE | optimized geometry

Unit cell a=3.916 b=3.916 c=20.913 alpha=90.00 beta=90.00 gamma=120.00
Element x y z (fractional)
Dy: 0.000 0.000 0.248
Dy: 0.000 0.000 0.752
Dy: 0.333 0.667 0.418
Dy: 0.333 0.667 0.915
Dy: 0.667 0.333 0.085
Dy: 0.667 0.333 0.582
Pt: 0.000 0.000 0.500
Pt: 0.333 0.667 0.167
Pt: 0.667 0.333 0.833
S: 0.000 0.000 0.000
S: 0.333 0.667 0.667
S: 0.667 0.333 0.333

Distance to the lowest polymorph of the same formula   6.8 kJ/mol of atoms
DFT total energy   -0.2349 hartree per atom
SG   No. 166
DOS(E_F)   2.6 states/eV/f.u.
E_form (uncorrected)   -6.20 eV/f.u.



(5)
Te3Cl | PBE | optimized geometry

Unit cell a=5.062 b=5.062 c=8.270 alpha=90.00 beta=90.00 gamma=90.00
Element x y z (fractional)
Te: 0.000 0.000 0.000
Te: 0.000 0.500 0.250
Te: 0.000 0.500 0.750
Te: 0.500 0.000 0.250
Te: 0.500 0.000 0.750
Te: 0.500 0.500 0.500
Cl: 0.000 0.000 0.500
Cl: 0.500 0.500 0.000

Distance to the lowest polymorph of the same formula   22.6 kJ/mol of atoms
DFT total energy   -0.0971 hartree per atom
SG   No. 139
DOS(E_F)   2.6 states/eV/f.u.
E_form (uncorrected)   0.70 eV/f.u.



(6)
Al5Zn3 | PBE | optimized geometry

Unit cell a=7.629 b=7.629 c=7.629 alpha=96.58 beta=96.58 gamma=140.44
Element x y z (fractional)
Al: 0.063 0.763 0.827
Al: 0.237 0.063 0.300
Al: 0.250 0.750 0.500
Al: 0.263 0.563 0.827
Al: 0.437 0.263 0.700
Al: 0.563 0.737 0.300
Al: 0.737 0.437 0.173
Al: 0.750 0.250 0.500
Al: 0.763 0.937 0.700
Al: 0.937 0.237 0.173
Zn: 0.182 0.318 0.500
Zn: 0.250 0.250 0.000
Zn: 0.318 0.818 0.136
Zn: 0.682 0.182 0.864
Zn: 0.750 0.750 0.000
Zn: 0.818 0.682 0.500

Distance to the lowest polymorph of the same formula   8.4 kJ/mol of atoms
DFT formation energy   0.104 eV per atom
DFT total energy   -0.0997 hartree per atom
SG   No. 140
DOS(E_F)   3.5 states/eV/f.u.



(7)
RbMo2OsRh | PBE | optimized geometry

Unit cell a=4.898 b=4.898 c=4.868 alpha=90.00 beta=90.00 gamma=90.00
Element x y z (fractional)
Rb: 0.000 0.000 0.000
Mo: 0.000 0.500 0.500
Mo: 0.500 0.000 0.500
Os: 0.500 0.500 0.000
Rh: 0.500 0.500 0.500

DFT formation energy   1.950 eV per atom
DFT total energy   -0.2312 hartree per atom
SG   No. 123
DOS(E_F)   4.9 states/eV/f.u.



(8)
ZrMo2P | PBE | optimized geometry

Unit cell a=3.375 b=4.837 c=8.168 alpha=90.00 beta=90.00 gamma=90.00
Element x y z (fractional)
Zr: 0.000 0.000 0.000
Zr: 0.500 0.500 0.000
Mo: 0.000 0.000 0.537
Mo: 0.000 0.500 0.284
Mo: 0.500 0.000 0.284
Mo: 0.500 0.500 0.537
P: 0.000 0.500 0.758
P: 0.500 0.000 0.758

DFT formation energy   -0.127 eV per atom
DFT total energy   -0.3319 hartree per atom
SG   No. 35
DOS(E_F)   2.4 states/eV/f.u.



> Look up the DOS(E_F) of the sixth one.

3.5 states/eV/f.u.